SmTaNb GGA-PBE relaxed; energy relative to the lowest polymorph listed for this composition = 0.0 meV/atom; SG = F-43m, No. 216; calculated density = 9.5 g/cm³; calculated formation energy = 0.91 eV per atom; uncorrected energy = -7.974 eV per atom; M_tot = 0.03 μB per cell
1.0
6.662 0.000 0.000
0.000 6.662 0.000
0.000 0.000 6.662
Sm Ta Nb
4 4 4
Direct
0.000 0.000 0.000 Sm
0.000 0.500 0.500 Sm
0.500 0.000 0.500 Sm
0.500 0.500 0.000 Sm
0.000 0.000 0.500 Ta
0.000 0.500 0.000 Ta
0.500 0.000 0.000 Ta
0.500 0.500 0.500 Ta
0.250 0.250 0.250 Nb
0.250 0.750 0.750 Nb
0.750 0.250 0.750 Nb
0.750 0.750 0.250 Nb

***

SmNbTc GGA-PBE relaxed; energy relative to the lowest polymorph listed for this composition = 0.0 meV/atom; SG = F-43m, No. 216; calculated density = 8.4 g/cm³; calculated formation energy = 0.68 eV per atom; uncorrected energy = -7.704 eV per atom; M_tot = 0.01 μB per cell
1.0
6.455 0.000 0.000
0.000 6.455 0.000
0.000 0.000 6.455
Sm Nb Tc
4 4 4
Direct
0.000 0.000 0.000 Sm
0.000 0.500 0.500 Sm
0.500 0.000 0.500 Sm
0.500 0.500 0.000 Sm
0.250 0.250 0.250 Nb
0.250 0.750 0.750 Nb
0.750 0.250 0.750 Nb
0.750 0.750 0.250 Nb
0.000 0.000 0.500 Tc
0.000 0.500 0.000 Tc
0.500 0.000 0.000 Tc
0.500 0.500 0.500 Tc

***

SmNbTc GGA-PBE relaxed; energy relative to the lowest polymorph listed for this composition = 781.9 meV/atom; SG = F-43m, No. 216; calculated density = 8.4 g/cm³; calculated formation energy = 1.47 eV per atom; uncorrected energy = -6.922 eV per atom; M_tot = 0.04 μB per cell
1.0
6.453 0.000 0.000
0.000 6.453 0.000
0.000 0.000 6.453
Sm Nb Tc
4 4 4
Direct
0.000 0.000 0.000 Sm
0.000 0.500 0.500 Sm
0.500 0.000 0.500 Sm
0.500 0.500 0.000 Sm
0.250 0.250 0.750 Nb
0.250 0.750 0.250 Nb
0.750 0.250 0.250 Nb
0.750 0.750 0.750 Nb
0.250 0.250 0.250 Tc
0.250 0.750 0.750 Tc
0.750 0.250 0.750 Tc
0.750 0.750 0.250 Tc

***

SmNbW GGA-PBE relaxed; energy relative to the lowest polymorph listed for this composition = 0.0 meV/atom; SG = F-43m, No. 216; calculated density = 10.0 g/cm³; calculated formation energy = 0.82 eV per atom; uncorrected energy = -8.435 eV per atom; M_tot = 0.01 μB per cell
1.0
6.574 0.000 0.000
0.000 6.574 0.000
0.000 0.000 6.574
Sm Nb W
4 4 4
Direct
0.000 0.000 0.000 Sm
0.000 0.500 0.500 Sm
0.500 0.000 0.500 Sm
0.500 0.500 0.000 Sm
0.000 0.000 0.500 Nb
0.000 0.500 0.000 Nb
0.500 0.000 0.000 Nb
0.500 0.500 0.500 Nb
0.250 0.250 0.750 W
0.250 0.750 0.250 W
0.750 0.250 0.250 W
0.750 0.750 0.750 W

***

SmNbW GGA-PBE relaxed; energy relative to the lowest polymorph listed for this composition = 1058.0 meV/atom; SG = F-43m, No. 216; calculated density = 10.1 g/cm³; calculated formation energy = 1.88 eV per atom; uncorrected energy = -7.377 eV per atom; M_tot = 0.07 μB per cell
1.0
6.550 0.000 0.000
0.000 6.550 0.000
0.000 0.000 6.550
Sm Nb W
4 4 4
Direct
0.000 0.000 0.000 Sm
0.000 0.500 0.500 Sm
0.500 0.000 0.500 Sm
0.500 0.500 0.000 Sm
0.250 0.250 0.750 Nb
0.250 0.750 0.250 Nb
0.750 0.250 0.250 Nb
0.750 0.750 0.750 Nb
0.250 0.250 0.250 W
0.250 0.750 0.750 W
0.750 0.250 0.750 W
0.750 0.750 0.250 W

***

SmYNb GGA-PBE relaxed; energy relative to the lowest polymorph listed for this composition = 0.0 meV/atom; SG = F-43m, No. 216; calculated density = 5.8 g/cm³; calculated formation energy = 0.81 eV per atom; uncorrected energy = -6.277 eV per atom; M_tot = 8.84 μB per cell
1.0
7.236 0.000 0.000
0.000 7.236 0.000
0.000 0.000 7.236
Sm Y Nb
4 4 4
Direct
0.000 0.000 0.000 Sm
0.000 0.500 0.500 Sm
0.500 0.000 0.500 Sm
0.500 0.500 0.000 Sm
0.000 0.000 0.500 Y
0.000 0.500 0.000 Y
0.500 0.000 0.000 Y
0.500 0.500 0.500 Y
0.250 0.250 0.250 Nb
0.250 0.750 0.750 Nb
0.750 0.250 0.750 Nb
0.750 0.750 0.250 Nb